PWAu2 after structural relaxation. Source: Alexandria, functional PBE.

Calculated values
E above lowest polymorph in meV/atom: 39.8
Theoretical density in g/cm³: 14.90
M_tot in μB per atom: 0.00

Geometry as extended XYZ:
```
12
Lattice="2.999 0.000 0.000 -1.500 2.598 0.000 0.000 0.000 26.121" Properties=species:S:1:pos:R:3 pbc="T T T"
P 0.000 0.000 0.000
P 0.000 1.732 17.414
P 1.500 0.866 8.707
W 0.000 0.000 19.086
W 0.000 1.732 10.379
W 1.500 0.866 1.672
Au 0.000 0.000 6.380
Au 0.000 0.000 12.681
Au 0.000 1.732 3.974
Au 0.000 1.732 23.794
Au 1.500 0.866 15.087
Au 1.500 0.866 21.388
```

=====

Na3Br after structural relaxation. Source: Alexandria, functional PBE.

Calculated values
ΔE_f (raw) in eV per atom: -0.624
E above lowest polymorph in meV/atom: 21.4
Theoretical density in g/cm³: 1.69
M_tot in μB per atom: 0.00

Geometry as extended XYZ:
```
8
Lattice="3.958 0.000 0.000 0.000 4.261 0.000 0.000 0.000 17.327" Properties=species:S:1:pos:R:3 pbc="T T T"
Na 0.000 0.000 0.000
Na 0.000 2.131 3.244
Na 0.000 2.131 14.083
Na 1.979 0.000 5.420
Na 1.979 0.000 11.908
Na 1.979 2.131 8.664
Br 0.000 0.000 8.664
Br 1.979 2.131 0.000
```

=====

Hf2AlIn after structural relaxation. Source: Alexandria, functional PBE.

Calculated values
E above lowest polymorph in meV/atom: 36.0
Theoretical density in g/cm³: 10.22
M_tot in μB per atom: 0.00

Geometry as extended XYZ:
```
4
Lattice="4.329 0.000 0.000 0.000 4.329 0.000 0.000 0.000 4.326" Properties=species:S:1:pos:R:3 pbc="T T T"
Hf 0.000 2.165 0.000
Hf 2.165 0.000 0.000
Al 0.000 0.000 2.163
In 2.165 2.165 2.163
```

=====

RbTlSbS3 after structural relaxation. Source: Alexandria, functional PBE.

Calculated values
ΔE_f (raw) in eV per atom: -0.499
Theoretical density in g/cm³: 4.28
M_tot in μB per atom: 0.00

Geometry as extended XYZ:
```
12
Lattice="3.769 -7.232 0.000 3.769 7.232 0.000 -0.741 0.000 7.222" Properties=species:S:1:pos:R:3 pbc="T T T"
Rb 3.213 3.765 5.417
Rb 3.584 -3.765 1.806
Tl 3.584 5.947 1.806
Tl 3.213 -5.947 5.417
Sb 3.584 0.654 1.806
Sb 3.213 -0.654 5.417
S 1.591 0.261 3.555
S 1.221 -0.261 7.166
S 3.584 3.106 1.806
S 3.213 -3.106 5.417
S 5.576 0.261 0.056
S 5.205 -0.261 3.667
```